(one)
The following is a DFT calculation (PBE) of a relaxed structure of BaLi3Bi3.

POSCAR file:
```
BaLi3Bi3
1.0
-2.8257 4.4103 -0.3195
-6.6781 -4.7850 -6.9902
-1.9967 -0.5123 10.5883
Li Bi Ba
6 6 2
Direct
0.2500 0.2664 0.8936
0.2500 0.1064 0.3728
0.2500 0.6272 0.7338
0.7500 0.3728 0.2662
0.7500 0.8936 0.6272
0.7500 0.7336 0.1064
0.7500 0.4327 0.0318
0.7500 0.9681 0.4010
0.2500 0.4010 0.4328
0.2500 0.5673 0.9682
0.7500 0.5990 0.5672
0.2500 0.0319 0.5990
0.2500 0.6666 0.3333
0.7500 0.3334 0.6667
```

=====

(two)
The following is a DFT calculation (PBE) of a relaxed structure of BaLi3Bi3.

POSCAR file:
```
BaLi3Bi3
1.0
-0.3256 3.3372 -6.7980
-7.5008 -1.0797 -0.1708
-1.0435 6.7196 3.3487
Bi Li Ba
6 6 2
Direct
0.5000 0.0000 0.2500
0.7500 0.5000 0.0000
0.0000 0.7500 0.5000
0.0000 0.2500 0.5000
0.5000 0.0000 0.7500
0.2500 0.5000 0.0000
0.5000 0.2500 0.0000
0.7500 0.0000 0.5000
0.5000 0.7500 0.0000
0.0000 0.5000 0.2500
0.0000 0.5000 0.7500
0.2500 0.0000 0.5000
0.5000 0.5000 0.5000
0.0000 0.0000 0.0000
```

=====

(three)
The following is a DFT calculation (PBE) of a relaxed structure of BaLi3Bi3.

POSCAR file:
```
BaLi3Bi3
1.0
-1.1676 -6.6952 -1.8187
2.4338 -5.2188 4.0419
-7.7095 -3.9062 5.7215
Bi Li Ba
6 6 2
Direct
0.3209 0.1776 0.7389
0.7626 0.3209 0.7389
0.6791 0.8224 0.2611
0.1776 0.7626 0.7389
0.8224 0.2374 0.2611
0.2374 0.6791 0.2611
0.9232 0.4208 0.4300
0.7740 0.0768 0.5700
0.5792 0.7740 0.5700
0.4208 0.2260 0.4300
0.2260 0.9232 0.4300
0.0768 0.5792 0.5700
0.6885 0.6885 0.9346
0.3115 0.3115 0.0654
```

=====

Which is most stable? The ranking, best first, is (three), (one), (two).

=====

(one)
The following is a DFT calculation (PBE) of a relaxed structure of BaLi2Bi2.

POSCAR file:
```
BaLi2Bi2
1.0
-0.2340 -3.7938 -3.1427
-3.0755 -2.3453 3.0602
-6.4205 -0.4628 -2.8331
Bi Li Ba
2 2 1
Direct
0.3727 0.3727 0.2547
0.6273 0.6273 0.7453
0.7500 0.2500 0.5000
0.2500 0.7500 0.5000
0.0000 0.0000 0.0000
```

=====

(two)
The following is a DFT calculation (PBE) of a relaxed structure of BaLi2Bi2.

POSCAR file:
```
BaLi2Bi2
1.0
4.9039 0.0000 0.0000
0.0000 4.9039 0.0000
0.0000 0.0000 11.9885
Li Bi Ba
4 4 2
Direct
0.0000 0.0000 0.5000
0.0000 0.5000 0.1384
0.5000 0.5000 0.5000
0.5000 0.0000 0.8616
0.5000 0.0000 0.6299
0.0000 0.0000 0.0000
0.5000 0.5000 0.0000
0.0000 0.5000 0.3701
0.0000 0.5000 0.7388
0.5000 0.0000 0.2612
```

=====

(three)
The following is a DFT calculation (PBE) of a relaxed structure of BaLi2Bi2.

POSCAR file:
```
BaLi2Bi2
1.0
-1.2818 -9.1255 1.2438
4.8594 -1.7369 -7.7353
2.9221 -0.1555 1.8706
Bi Ba Li
4 2 4
Direct
0.3433 0.8433 0.0000
0.8433 0.6567 0.0000
0.6567 0.1567 0.0000
0.1567 0.3433 0.0000
0.5000 0.5000 0.0000
0.0000 0.0000 0.0000
0.1274 0.6274 0.5000
0.8726 0.3726 0.5000
0.3726 0.1274 0.5000
0.6274 0.8726 0.5000
```

=====

Which is most stable? The ranking, best first, is (two), (one), (three).

=====

(one)
The following is a DFT calculation (PBE) of a relaxed structure of BaLi3Bi.

POSCAR file:
```
BaLi3Bi
1.0
-2.7715 -3.0449 -3.4811
2.7142 -4.3568 1.6500
-3.7447 -0.9043 3.7723
Li Bi Ba
3 1 1
Direct
0.0000 0.0000 0.5000
0.5000 0.0000 0.0000
0.0000 0.5000 0.0000
0.0000 0.0000 0.0000
0.5000 0.5000 0.5000
```

=====

(two)
The following is a DFT calculation (PBE) of a relaxed structure of BaLi3Bi.

POSCAR file:
```
BaLi3Bi
1.0
-4.9052 2.4498 -0.0203
-2.3260 -4.6714 -1.6823
-0.7690 -1.4964 5.2184
Li Ba Bi
3 1 1
Direct
0.5000 0.0000 0.0000
0.0000 0.0000 0.5000
0.0000 0.5000 0.0000
0.0000 0.0000 0.0000
0.5000 0.5000 0.5000
```

=====

Which is most stable? The ranking, best first, is (one), (two).

=====

(one)
The following is a DFT calculation (PBE) of a relaxed structure of Ba3Li4Bi4.

POSCAR file:
```
Ba3Li4Bi4
1.0
-5.8158 6.6051 -4.0005
-9.6141 -1.0124 0.0065
8.2632 0.8246 4.9492
Bi Ba Li
4 3 4
Direct
0.3052 0.5000 0.8052
0.6948 0.5000 0.1948
0.2142 0.2142 0.0000
0.7858 0.7858 0.0000
0.0000 0.0000 0.0000
0.3689 0.8689 0.5000
0.6311 0.1311 0.5000
0.9828 0.6743 0.3085
0.3658 0.6743 0.6915
0.0172 0.3257 0.6915
0.6342 0.3257 0.3085
```

=====

(two)
The following is a DFT calculation (PBE) of a relaxed structure of Ba3Li4Bi4.

POSCAR file:
```
Ba3Li4Bi4
1.0
4.9820 0.0000 0.0044
0.0003 4.9696 0.0037
2.4768 2.4757 14.2958
Ba Bi Li
3 4 4
Direct
0.8440 0.3438 0.3127
0.1560 0.6562 0.6874
0.0000 0.0000 0.0000
0.3051 0.8058 0.3889
0.4458 0.4457 0.1088
0.6949 0.1942 0.6111
0.5543 0.5544 0.8911
0.4022 0.9022 0.1956
0.2507 0.2502 0.4998
0.7494 0.7498 0.5002
0.5978 0.0978 0.8044
```

=====

Which is most stable? The ranking, best first, is (one), (two).

=====

(one)
The following is a DFT calculation (PBE) of a relaxed structure of BaLiBi2Pb.

POSCAR file:
```
BaLiBi2Pb
1.0
-3.3944 -2.6116 2.2152
2.3003 -4.0494 -1.2491
4.4762 3.6053 5.8616
Bi Ba Pb Li
2 1 1 1
Direct
0.3907 0.3907 0.7814
0.6093 0.6093 0.2186
0.0000 0.0000 0.0000
0.7500 0.2500 0.5000
0.2500 0.7500 0.5000
```

=====

(two)
The following is a DFT calculation (PBE) of a relaxed structure of BaLiBi2Pb.

POSCAR file:
```
BaLiBi2Pb
1.0
5.4731 0.0000 0.0000
0.0000 5.4731 0.0000
0.0000 0.0000 5.3505
Pb Bi Ba Li
1 2 1 1
Direct
0.0000 0.0000 0.5000
0.5000 0.0000 0.0000
0.0000 0.5000 0.0000
0.5000 0.5000 0.5000
0.0000 0.0000 0.0000
```

=====

Which is most stable? The ranking, best first, is (one), (two).

=====

(one)
The following is a DFT calculation (PBE) of a relaxed structure of BaLiBi2Pd.

POSCAR file:
```
BaLiBi2Pd
1.0
-5.0869 1.1009 -1.8588
0.9468 -3.1381 -4.4497
-1.7627 -4.0071 2.4509
Bi Pd Ba Li
2 1 1 1
Direct
0.0000 0.5000 0.0000
0.5000 0.0000 0.0000
0.0000 0.0000 0.0000
0.5000 0.5000 0.5000
0.0000 0.0000 0.5000
```

=====

(two)
The following is a DFT calculation (PBE) of a relaxed structure of BaLiBi2Pd.

POSCAR file:
```
BaLiBi2Pd
1.0
-1.4706 4.5343 0.9122
-1.8226 0.3116 -4.4873
-3.5851 -4.5180 3.7669
Pd Bi Ba Li
1 2 1 1
Direct
0.7500 0.2500 0.5000
0.6318 0.6318 0.2636
0.3682 0.3682 0.7364
0.0000 0.0000 0.0000
0.2500 0.7500 0.5000
```

=====

Which is most stable? The ranking, best first, is (two), (one).

=====

(one)
The following is a DFT calculation (PBE) of a relaxed structure of Ba2LiBiS.

POSCAR file:
```
Ba2LiBiS
1.0
6.1360 0.0000 0.0000
0.0000 6.1360 0.0000
0.0000 0.0000 4.7597
Bi Li Ba S
1 1 2 1
Direct
0.5000 0.5000 0.5000
0.0000 0.0000 0.5000
0.0000 0.5000 0.0000
0.5000 0.0000 0.0000
0.0000 0.0000 0.0000
```

=====

(two)
The following is a DFT calculation (PBE) of a relaxed structure of Ba2LiBiS.

POSCAR file:
```
Ba2LiBiS
1.0
4.8434 0.0000 0.0000
0.0000 7.8726 0.3229
0.0000 -2.9936 8.9578
S Ba Bi Li
2 4 2 2
Direct
0.2500 0.8355 0.8314
0.7500 0.1645 0.1686
0.2500 0.2386 0.9641
0.7500 0.7614 0.0359
0.2500 0.1827 0.3948
0.7500 0.8173 0.6052
0.2500 0.6662 0.3031
0.7500 0.3338 0.6969
0.2500 0.5311 0.7227
0.7500 0.4689 0.2773
```

=====

Which is most stable? The ranking, best first, is (two), (one).

=====

(one)
The following is a DFT calculation (PBE) of a relaxed structure of BaLiTlBi2.

POSCAR file:
```
BaLiTlBi2
1.0
-4.4152 -2.1232 0.0902
2.1211 -4.4156 -0.1141
1.3366 3.1769 7.1144
Bi Tl Li Ba
2 1 1 1
Direct
0.3855 0.3855 0.7711
0.6145 0.6145 0.2289
0.7500 0.2500 0.5000
0.2500 0.7500 0.5000
0.0000 0.0000 0.0000
```

=====

(two)
The following is a DFT calculation (PBE) of a relaxed structure of BaLiTlBi2.

POSCAR file:
```
BaLiTlBi2
1.0
5.4816 0.0000 0.0000
0.0000 5.4816 0.0000
0.0000 0.0000 5.3746
Bi Li Ba Tl
2 1 1 1
Direct
0.5000 0.0000 0.0000
0.0000 0.5000 0.0000
0.0000 0.0000 0.0000
0.5000 0.5000 0.5000
0.0000 0.0000 0.5000
```

=====

Which is most stable? The ranking, best first, is (one), (two).